1.
! TmZnGe | Alexandria | PBE-GGA | relaxed; values from VASP
! Symmetry   P-6m2, No. 187
! Formation energy   -0.59 eV/atom
&SYSTEM
  ibrav = 0, nat = 3, ntyp = 3
/
ATOMIC_SPECIES
Tm 168.93 Tm.upf
Zn 65.41 Zn.upf
Ge 72.64 Ge.upf
ATOMIC_POSITIONS crystal
Tm 0.0000 0.0000 0.0000
Zn 0.3333 0.6667 0.5000
Ge 0.6667 0.3333 0.5000
CELL_PARAMETERS angstrom
4.1555 0.0000 0.0000
-2.0778 3.5988 0.0000
0.0000 0.0000 3.9848

2.
! TmZnGe | Alexandria | PBE-GGA | relaxed; values from VASP
! Symmetry   P6_3/mmc, No. 194
! Formation energy   -0.58 eV/atom
&SYSTEM
  ibrav = 0, nat = 6, ntyp = 3
/
ATOMIC_SPECIES
Tm 168.93 Tm.upf
Zn 65.41 Zn.upf
Ge 72.64 Ge.upf
ATOMIC_POSITIONS crystal
Tm 0.0000 0.0000 0.0000
Tm 0.0000 0.0000 0.5000
Zn 0.3333 0.6667 0.2500
Zn 0.6667 0.3333 0.7500
Ge 0.3333 0.6667 0.7500
Ge 0.6667 0.3333 0.2500
CELL_PARAMETERS angstrom
4.1677 0.0000 0.0000
-2.0839 3.6094 0.0000
0.0000 0.0000 7.8729

3.
! Tm3Zn2Ge3 | Alexandria | PBE-GGA | relaxed; values from VASP
! Symmetry   Cmcm, No. 63
! Formation energy   -0.62 eV/atom
&SYSTEM
  ibrav = 0, nat = 16, ntyp = 3
/
ATOMIC_SPECIES
Tm 168.93 Tm.upf
Zn 65.41 Zn.upf
Ge 72.64 Ge.upf
ATOMIC_POSITIONS crystal
Tm 0.0676 0.9324 0.6150
Tm 0.0676 0.9324 0.8850
Tm 0.3542 0.6458 0.7500
Tm 0.6458 0.3542 0.2500
Tm 0.9324 0.0676 0.1150
Tm 0.9324 0.0676 0.3850
Zn 0.2264 0.7736 0.0997
Zn 0.2264 0.7736 0.4003
Zn 0.7736 0.2264 0.5997
Zn 0.7736 0.2264 0.9003
Ge 0.3639 0.6361 0.2500
Ge 0.3847 0.6153 0.5429
Ge 0.3847 0.6153 0.9571
Ge 0.6153 0.3847 0.0429
Ge 0.6153 0.3847 0.4571
Ge 0.6361 0.3639 0.7500
CELL_PARAMETERS angstrom
2.0865 -5.4333 0.0000
2.0865 5.4333 0.0000
0.0000 0.0000 14.1684

4.
! Tm4Zn5Ge6 | Alexandria | PBE-GGA | relaxed; values from VASP
! Symmetry   Cmc2_1, No. 36
! Formation energy   -0.52 eV/atom
&SYSTEM
  ibrav = 0, nat = 30, ntyp = 3
/
ATOMIC_SPECIES
Tm 168.93 Tm.upf
Zn 65.41 Zn.upf
Ge 72.64 Ge.upf
ATOMIC_POSITIONS crystal
Tm 0.0191 0.9809 0.5000
Tm 0.0333 0.9667 0.7653
Tm 0.1673 0.8327 0.3032
Tm 0.1747 0.8253 0.9451
Tm 0.8253 0.1747 0.4451
Tm 0.8327 0.1673 0.8032
Tm 0.9667 0.0333 0.2653
Tm 0.9809 0.0191 0.0000
Zn 0.1515 0.8485 0.6273
Zn 0.3010 0.6990 0.6245
Zn 0.3449 0.6551 0.2759
Zn 0.3492 0.6508 0.9828
Zn 0.4348 0.5652 0.6870
Zn 0.5652 0.4348 0.1870
Zn 0.6508 0.3492 0.4828
Zn 0.6551 0.3449 0.7759
Zn 0.6990 0.3010 0.1245
Zn 0.8485 0.1515 0.1273
Ge 0.1126 0.8874 0.1173
Ge 0.2241 0.7759 0.4848
Ge 0.2286 0.7714 0.7667
Ge 0.4309 0.5691 0.4107
Ge 0.4328 0.5672 0.1310
Ge 0.4396 0.5604 0.8559
Ge 0.5604 0.4396 0.3559
Ge 0.5672 0.4328 0.6310
Ge 0.5691 0.4309 0.9107
Ge 0.7714 0.2286 0.2666
Ge 0.7759 0.2241 0.9848
Ge 0.8874 0.1126 0.6173
CELL_PARAMETERS angstrom
2.1104 -9.2260 0.0000
2.1104 9.2260 0.0000
0.0000 0.0000 15.1466